{
  "formula": "AlCo2Tc",
  "functional": "meta-GGA SCAN",
  "state": "single point on PBEsol structure",
  "magnetic_moment_mub_per_cell": 0.0,
  "delta_e_f_ev_per_atom": -0.083,
  "lattice": [[5.253, 0.000, 0.000], [0.000, 6.818, 0.000], [0.000, 0.000, 2.625]],
  "species": ["Al", "Al", "Co", "Co", "Co", "Co", "Tc", "Tc"],
  "fractional_positions": [[0.000, 0.000, 0.000], [0.500, 0.500, 0.000], [0.250, 0.250, 0.500], [0.250, 0.750, 0.500], [0.750, 0.250, 0.500], [0.750, 0.750, 0.500], [0.000, 0.500, 0.000], [0.500, 0.000, 0.000]]
}



{
  "formula": "AlCo2Tc",
  "functional": "meta-GGA SCAN",
  "state": "single point on PBEsol structure",
  "magnetic_moment_mub_per_cell": 1.1,
  "delta_e_f_ev_per_atom": -0.192,
  "lattice": [[2.636, 0.000, 0.000], [0.000, 2.636, 0.000], [0.000, 0.000, 6.671]],
  "species": ["Al", "Co", "Co", "Tc"],
  "fractional_positions": [[0.000, 0.000, 0.000], [0.500, 0.500, 0.241], [0.500, 0.500, 0.759], [0.000, 0.000, 0.500]]
}



{
  "formula": "AlCo2Te",
  "functional": "meta-GGA SCAN",
  "state": "single point on PBEsol structure",
  "magnetic_moment_mub_per_cell": 9.1,
  "formation_energy_uncorrected_mev_per_atom": 137,
  "lattice": [[5.982, 0.000, 0.000], [0.000, 5.982, 0.000], [0.000, 0.000, 5.982]],
  "species": ["Al", "Al", "Al", "Al", "Co", "Co", "Co", "Co", "Co", "Co", "Co", "Co", "Te", "Te", "Te", "Te"],
  "fractional_positions": [[0.000, 0.000, 0.000], [0.000, 0.500, 0.500], [0.500, 0.000, 0.500], [0.500, 0.500, 0.000], [0.250, 0.250, 0.250], [0.250, 0.250, 0.750], [0.250, 0.750, 0.250], [0.250, 0.750, 0.750], [0.750, 0.250, 0.250], [0.750, 0.250, 0.750], [0.750, 0.750, 0.250], [0.750, 0.750, 0.750], [0.000, 0.000, 0.500], [0.000, 0.500, 0.000], [0.500, 0.000, 0.000], [0.500, 0.500, 0.500]]
}



{
  "formula": "ThAlCo",
  "functional": "meta-GGA SCAN",
  "state": "single point on PBEsol structure",
  "magnetic_moment_mub_per_cell": 0.0,
  "delta_e_f_ev_per_atom": -0.436,
  "lattice": [[6.892, 0.000, 0.000], [-3.446, 5.968, 0.000], [0.000, 0.000, 4.007]],
  "species": ["Th", "Th", "Th", "Al", "Al", "Al", "Co", "Co", "Co"],
  "fractional_positions": [[0.000, 0.579, 0.000], [0.421, 0.421, 0.000], [0.579, 0.000, 0.000], [0.000, 0.228, 0.500], [0.228, 0.000, 0.500], [0.772, 0.772, 0.500], [0.000, 0.000, 0.000], [0.333, 0.667, 0.500], [0.667, 0.333, 0.500]]
}



{
  "formula": "TiAlCo2",
  "functional": "meta-GGA SCAN",
  "state": "single point on PBEsol structure",
  "magnetic_moment_mub_per_cell": 1.1,
  "delta_e_f_ev_per_atom": -0.573,
  "lattice": [[2.923, 0.000, 0.000], [0.000, 2.923, 0.000], [0.000, 0.000, 5.609]],
  "species": ["Ti", "Al", "Co", "Co"],
  "fractional_positions": [[0.000, 0.000, 0.000], [0.000, 0.000, 0.500], [0.500, 0.500, 0.248], [0.500, 0.500, 0.752]]
}



{
  "formula": "Ti13Al9Co8",
  "functional": "meta-GGA SCAN",
  "state": "single point on PBEsol structure",
  "magnetic_moment_mub_per_cell": 1.4,
  "delta_e_f_ev_per_atom": -0.534,
  "lattice": [[4.180, 2.414, 6.854], [-4.180, 2.414, 6.854], [0.000, -4.827, 6.854]],
  "species": ["Ti", "Ti", "Ti", "Ti", "Ti", "Ti", "Ti", "Ti", "Ti", "Ti", "Ti", "Ti", "Ti", "Al", "Al", "Al", "Al", "Al", "Al", "Al", "Al", "Al", "Co", "Co", "Co", "Co", "Co", "Co", "Co", "Co"],
  "fractional_positions": [[0.000, 0.000, 0.000], [0.001, 0.001, 0.480], [0.001, 0.480, 0.001], [0.093, 0.462, 0.462], [0.414, 0.826, 0.826], [0.421, 0.421, 0.803], [0.421, 0.803, 0.421], [0.462, 0.093, 0.462], [0.462, 0.462, 0.093], [0.480, 0.001, 0.001], [0.803, 0.421, 0.421], [0.826, 0.414, 0.826], [0.826, 0.826, 0.414], [0.137, 0.782, 0.782], [0.238, 0.238, 0.765], [0.238, 0.765, 0.238], [0.239, 0.239, 0.239], [0.449, 0.449, 0.449], [0.765, 0.238, 0.238], [0.779, 0.779, 0.779], [0.782, 0.137, 0.782], [0.782, 0.782, 0.137], [0.117, 0.623, 0.623], [0.120, 0.120, 0.622], [0.120, 0.622, 0.120], [0.121, 0.121, 0.121], [0.622, 0.120, 0.120], [0.623, 0.117, 0.623], [0.623, 0.623, 0.117], [0.624, 0.624, 0.624]]
}



{
  "formula": "Ti6Al16Co7",
  "functional": "meta-GGA SCAN",
  "state": "single point on PBEsol structure",
  "magnetic_moment_mub_per_cell": 0.0,
  "delta_e_f_ev_per_atom": -0.522,
  "lattice": [[0.000, 5.829, 5.829], [5.829, 0.000, 5.829], [5.829, 5.829, 0.000]],
  "species": ["Ti", "Ti", "Ti", "Ti", "Ti", "Ti", "Al", "Al", "Al", "Al", "Al", "Al", "Al", "Al", "Al", "Al", "Al", "Al", "Al", "Al", "Al", "Al", "Co", "Co", "Co", "Co", "Co", "Co", "Co"],
  "fractional_positions": [[0.187, 0.187, 0.813], [0.187, 0.813, 0.187], [0.187, 0.813, 0.813], [0.813, 0.187, 0.187], [0.813, 0.187, 0.813], [0.813, 0.813, 0.187], [0.144, 0.619, 0.619], [0.160, 0.160, 0.160], [0.160, 0.160, 0.519], [0.160, 0.519, 0.160], [0.381, 0.381, 0.381], [0.381, 0.381, 0.856], [0.381, 0.856, 0.381], [0.481, 0.840, 0.840], [0.519, 0.160, 0.160], [0.619, 0.144, 0.619], [0.619, 0.619, 0.144], [0.619, 0.619, 0.619], [0.840, 0.481, 0.840], [0.840, 0.840, 0.481], [0.840, 0.840, 0.840], [0.856, 0.381, 0.381], [0.000, 0.000, 0.500], [0.000, 0.500, 0.000], [0.000, 0.500, 0.500], [0.500, 0.000, 0.000], [0.500, 0.000, 0.500], [0.500, 0.500, 0.000], [0.500, 0.500, 0.500]]
}



{
  "formula": "AlTlCo",
  "functional": "meta-GGA SCAN",
  "state": "single point on PBEsol structure",
  "magnetic_moment_mub_per_cell": 0.0,
  "e_above_lowest_polymorph_mev_per_atom": 0,
  "delta_e_f_ev_per_atom": 0.274,
  "lattice": [[5.930, 0.000, 0.000], [0.000, 5.930, 0.000], [0.000, 0.000, 5.930]],
  "species": ["Al", "Al", "Al", "Al", "Tl", "Tl", "Tl", "Tl", "Co", "Co", "Co", "Co"],
  "fractional_positions": [[0.000, 0.000, 0.000], [0.000, 0.500, 0.500], [0.500, 0.000, 0.500], [0.500, 0.500, 0.000], [0.000, 0.000, 0.500], [0.000, 0.500, 0.000], [0.500, 0.000, 0.000], [0.500, 0.500, 0.500], [0.250, 0.250, 0.250], [0.250, 0.750, 0.750], [0.750, 0.250, 0.750], [0.750, 0.750, 0.250]]
}



{
  "formula": "AlTl2Co",
  "functional": "meta-GGA SCAN",
  "state": "single point on PBEsol structure",
  "magnetic_moment_mub_per_cell": 1.6,
  "e_above_lowest_polymorph_mev_per_atom": 0,
  "delta_e_f_ev_per_atom": 0.447,
  "lattice": [[4.669, 0.000, 0.000], [0.000, 3.384, 0.000], [-1.981, 0.000, 4.814]],
  "species": ["Al", "Tl", "Tl", "Co"],
  "fractional_positions": [[0.000, 0.000, 0.000], [0.500, 0.000, 0.500], [0.500, 0.500, 0.000], [0.000, 0.500, 0.500]]
}



{
  "formula": "AlTlCo",
  "functional": "meta-GGA SCAN",
  "state": "single point on PBEsol structure",
  "magnetic_moment_mub_per_cell": 1.1,
  "e_above_lowest_polymorph_mev_per_atom": 57,
  "delta_e_f_ev_per_atom": 0.331,
  "lattice": [[3.031, 0.000, 0.000], [-1.516, 2.625, 0.000], [0.000, 0.000, 6.298]],
  "species": ["Al", "Tl", "Co"],
  "fractional_positions": [[0.000, 0.000, 0.000], [0.667, 0.333, 0.408], [0.333, 0.667, 0.741]]
}



{
  "formula": "Al2TlCo",
  "functional": "meta-GGA SCAN",
  "state": "single point on PBEsol structure",
  "magnetic_moment_mub_per_cell": 0.6,
  "e_above_lowest_polymorph_mev_per_atom": 0,
  "delta_e_f_ev_per_atom": -0.069,
  "lattice": [[2.888, 0.000, 0.000], [0.000, 2.888, 0.000], [0.000, 0.000, 8.140]],
  "species": ["Al", "Al", "Tl", "Co"],
  "fractional_positions": [[0.000, 0.000, 0.170], [0.000, 0.000, 0.830], [0.500, 0.500, 0.500], [0.500, 0.500, 0.000]]
}



{
  "formula": "AlTl2Co",
  "functional": "meta-GGA SCAN",
  "state": "single point on PBEsol structure",
  "magnetic_moment_mub_per_cell": 1.7,
  "e_above_lowest_polymorph_mev_per_atom": 135,
  "delta_e_f_ev_per_atom": 0.582,
  "lattice": [[4.385, 0.000, 0.000], [0.000, 4.385, 0.000], [0.000, 0.000, 3.930]],
  "species": ["Al", "Tl", "Tl", "Co"],
  "fractional_positions": [[0.000, 0.000, 0.000], [0.000, 0.500, 0.500], [0.500, 0.000, 0.500], [0.500, 0.500, 0.000]]
}



no.,E_tot (eV per atom)
1,-19.438
2,-19.547
3,-19.766
4,-40.761
5,-15.171
6,-14.420
7,-12.292
8,-32.197
9,-41.997
10,-32.141
11,-26.361
12,-41.861